# 1
VPt | GGA-PBE | relaxed Values from VASP.

```
&SYSTEM
  ibrav = 0, nat = 12, ntyp = 2
/
ATOMIC_SPECIES
Pt 195.08 Pt.upf
V 50.94 V.upf
CELL_PARAMETERS angstrom
6.809 0.000 0.000
0.000 6.809 0.000
0.000 0.000 6.809
ATOMIC_POSITIONS angstrom
Pt 5.107 0.000 3.405
Pt 1.702 0.000 3.405
V 1.702 3.405 0.000
V 0.000 5.107 3.405
Pt 0.000 3.405 5.107
Pt 0.000 3.405 1.702
V 3.405 0.000 1.702
V 0.000 1.702 3.405
V 3.405 0.000 5.107
V 5.107 3.405 0.000
Pt 3.405 5.107 0.000
Pt 3.405 1.702 0.000
```

## Properties
- Energy relative to the elements: 0.69 eV per atom
- Symmetry: No. 223
- Calculated volume: 26.310 A^3/atom


# 2
NaCrSbI2 | GGA-PBE | relaxed Values from VASP.

```
&SYSTEM
  ibrav = 0, nat = 5, ntyp = 4
/
ATOMIC_SPECIES
Na 22.99 Na.upf
Sb 121.76 Sb.upf
I 126.90 I.upf
Cr 52.00 Cr.upf
CELL_PARAMETERS angstrom
5.803 0.000 0.000
0.000 5.803 0.000
0.000 0.000 5.156
ATOMIC_POSITIONS angstrom
Na 2.902 2.902 2.578
Sb 0.000 0.000 2.578
I 2.902 0.000 0.000
I 0.000 2.902 0.000
Cr 0.000 0.000 0.000
```

## Properties
- Symmetry: No. 123
- Formation energy without anion corrections: -0.1285 eV/atom
- Excess energy over the best structure of this formula in the dataset: 0.0000 eV per atom
- Calculated volume: 34.735 A^3/atom


# 3
CaEr2Pt9 | GGA-PBE | relaxed Values from VASP.

```
&SYSTEM
  ibrav = 0, nat = 12, ntyp = 3
/
ATOMIC_SPECIES
Er 167.26 Er.upf
Pt 195.08 Pt.upf
Ca 40.08 Ca.upf
CELL_PARAMETERS angstrom
5.194 0.000 1.546
2.367 4.623 1.546
0.048 0.029 9.338
ATOMIC_POSITIONS angstrom
Er 1.081 0.661 5.867
Pt 2.516 1.538 1.047
Pt 1.847 2.742 7.968
Pt 3.804 2.326 6.215
Er 6.528 3.992 6.562
Pt 4.484 2.742 8.753
Pt 4.326 4.258 4.461
Pt 5.093 3.114 11.383
Pt 3.283 0.395 7.968
Pt 3.125 1.911 3.676
Pt 5.762 1.911 4.461
Ca 0.000 0.000 0.000
```

## Properties
- Energy relative to the elements: -0.88 eV per atom
- Symmetry: No. 166
- Calculated volume: 18.647 A^3/atom